! NbAlAsBr2 (PBE-GGA, relaxed); values from VASP
! N(E_F) = 0.81 states/eV/atom
! Formation energy without anion corrections = 0.525 eV/atom
! Crystal system = tetragonal
! Total DFT energy (no corrections) = -3.836 eV per atom
&SYSTEM
  ibrav = 0, nat = 5, ntyp = 4
/
ATOMIC_SPECIES
Nb 92.91 Nb.upf
As 74.92 As.upf
Br 79.90 Br.upf
Al 26.98 Al.upf
ATOMIC_POSITIONS crystal
Nb 0.5000 0.5000 0.5000
As 0.0000 0.0000 0.5000
Br 0.0000 0.5000 0.0000
Br 0.5000 0.0000 0.0000
Al 0.0000 0.0000 0.0000
CELL_PARAMETERS angstrom
4.9108 0.0000 0.0000
0.0000 4.9108 0.0000
0.0000 0.0000 5.0690